[1]
Rb4Ce3USe8 | PBE | relaxed

Unit cell a=8.7463 b=8.7463 c=24.0277 alpha=90.00 beta=90.00 gamma=120.00
Space group R-3m (No. 166, hexagonal axes)
One atom of each set of equivalent atoms:
Rb (0.0000, 0.0000, 0.0000) [3 per cell]
Rb (0.0000, 0.5000, 0.0000) [9 per cell]
Ce (0.0000, 0.5000, 0.5000) [9 per cell]
U (0.0000, 0.0000, 0.5000) [3 per cell]
Se (0.0000, 0.0000, 0.2336) [6 per cell]
Se (0.0059, 0.5030, 0.2329) [18 per cell]

energy relative to the elements, uncorrected	-1.549	eV per atom
D(E_F)	84.890	states/eV per cell

[2]
Rb3Ce3USe8 | PBE | relaxed

Unit cell a=8.6687 b=8.6687 c=24.3267 alpha=90.00 beta=90.00 gamma=120.00
Space group R-3m (No. 166, hexagonal axes)
One atom of each set of equivalent atoms:
Rb (0.0000, 0.5000, 0.0000) [9 per cell]
Ce (0.0000, 0.5000, 0.5000) [9 per cell]
U (0.0000, 0.0000, 0.5000) [3 per cell]
Se (0.0000, 0.0000, 0.2330) [6 per cell]
Se (0.0089, 0.5044, 0.2304) [18 per cell]

energy relative to the elements, uncorrected	-1.580	eV per atom
D(E_F)	79.796	states/eV per cell

[3]
Rb3Ce3VSe8 | PBE | relaxed

Unit cell a=8.3877 b=8.3877 c=24.4595 alpha=90.00 beta=90.00 gamma=120.00
Space group R-3m (No. 166, hexagonal axes)
One atom of each set of equivalent atoms:
Rb (0.0000, 0.5000, 0.0000) [9 per cell]
Ce (0.0000, 0.5000, 0.5000) [9 per cell]
V (0.0000, 0.0000, 0.5000) [3 per cell]
Se (0.0000, 0.0000, 0.2339) [6 per cell]
Se (0.0235, 0.5117, 0.2277) [18 per cell]

energy relative to the elements, uncorrected	-1.456	eV per atom
D(E_F)	58.846	states/eV per cell

Please write out number 2 again, unchanged.
Rb3Ce3USe8 | PBE | relaxed

Unit cell a=8.6687 b=8.6687 c=24.3267 alpha=90.00 beta=90.00 gamma=120.00
Space group R-3m (No. 166, hexagonal axes)
One atom of each set of equivalent atoms:
Rb (0.0000, 0.5000, 0.0000) [9 per cell]
Ce (0.0000, 0.5000, 0.5000) [9 per cell]
U (0.0000, 0.0000, 0.5000) [3 per cell]
Se (0.0000, 0.0000, 0.2330) [6 per cell]
Se (0.0089, 0.5044, 0.2304) [18 per cell]

energy relative to the elements, uncorrected	-1.580	eV per atom
D(E_F)	79.796	states/eV per cell

- Which of these has the highest D(E_F)?
  Rb4Ce3USe8

- The lowest D(E_F) belongs to which entry?
  Rb3Ce3VSe8